# 1
Compound: La3LuTc
Source: Alexandria
Functional: PBE
Structure: relaxed

The space group is Pm-3m (No. 221) and the conventional cell measures 5.5346, 5.5346 and 5.5346 Å, with angles of 90.00, 90.00 and 90.00 degrees. The inequivalent atoms are La at (0.0000, 0.0000, 0.5000), Lu at (0.5000, 0.5000, 0.5000) and Tc at (0.0000, 0.0000, 0.0000).

As for the crystal system: cubic. The value obtained for the volume is 169.5 Å³ per cell. The energy of formation comes out at 0.11 eV/atom. Its calculated total energy is -29.132 eV for the cell shown. The calculation puts the density of states at the Fermi level at 4.649 states/eV per cell.


# 2
Compound: LiEuMgZn
Source: Alexandria
Functional: PBE
Structure: relaxed

The space group is F-43m (No. 216) and the conventional cell measures 7.1832, 7.1832 and 7.1832 Å, with angles of 90.00, 90.00 and 90.00 degrees. The inequivalent atoms are Li at (0.0000, 0.0000, 0.0000), Eu at (0.2500, 0.2500, 0.7500), Mg at (0.2500, 0.2500, 0.2500) and Zn at (0.0000, 0.0000, 0.5000).

As for the crystal system: cubic. The value obtained for the volume is 370.6 Å³ per cell. The energy of formation comes out at -0.12 eV/atom. Its calculated total energy is -62.139 eV for the cell shown. The calculation puts the density of states at the Fermi level at 35.999 states/eV per cell.


# 3
Compound: NbCrP2S
Source: Alexandria
Functional: PBE
Structure: relaxed

The space group is P4/mmm (No. 123) and the conventional cell measures 4.4062, 4.4062 and 4.5545 Å, with angles of 90.00, 90.00 and 90.00 degrees. The inequivalent atoms are Nb at (0.0000, 0.0000, 0.0000), Cr at (0.5000, 0.5000, 0.5000), P at (0.0000, 0.5000, 0.5000) and S at (0.5000, 0.5000, 0.0000).

As for the crystal system: tetragonal. The value obtained for the volume is 88.4 Å³ per cell. Its calculated total energy is -32.174 eV for the cell shown. The calculation puts the density of states at the Fermi level at 3.455 states/eV per cell. As for the distance to the lowest polymorph of the same formula: 0 meV per atom. The formation energy without anion corrections comes out at 493 meV/atom.